1.
DFT (PBE) results for an optimized crystal structure of NaTeSe3.

Summary:
Spin magnetization   0.00 μB/f.u.
Uncorrected formation energy   -295 meV per atom
Space group   No. 12
Theoretical density   4.243 g/cm3

Lattice parameters (Å, degrees): 6.686 6.917 8.863 73.71 50.48 81.30
Fractional positions:
Se  0.452  0.137  0.907
Te  0.500  0.500  0.500
Te  0.000  0.000  0.000
Se  0.548  0.863  0.093
Na  0.283  0.211  0.289
Se  0.005  0.407  0.637
Se  0.995  0.593  0.363
Se  0.314  0.882  0.618
Se  0.686  0.118  0.382
Na  0.717  0.789  0.711

---

2.
DFT (PBE) results for an optimized crystal structure of Na3TeSe2.

Summary:
Spin magnetization   0.00 μB/f.u.
Uncorrected formation energy   -779 meV per atom
Space group   No. 72
Theoretical density   3.502 g/cm3

Lattice parameters (Å, degrees): 7.152 6.924 8.419 114.28 115.13 90.00
Fractional positions:
Te  0.000  0.500  0.000
Te  0.000  0.000  0.000
Na  0.500  0.750  0.000
Se  0.435  0.639  0.277
Se  0.158  0.861  0.723
Se  0.842  0.139  0.277
Na  0.779  0.029  0.558
Na  0.779  0.529  0.558
Na  0.221  0.471  0.442
Na  0.500  0.250  0.000
Na  0.221  0.971  0.442
Se  0.565  0.361  0.723

---

Q: The lowest uncorrected formation energy belongs to which entry?
A: Na3TeSe2